1.
# YLu2Au | the Alexandria database | GGA-PBE | relaxed
# ΔE to the lowest computed polymorph in eV per atom: 0.119
# Energy relative to the elements in meV/atom: -298
# E_tot in eV per atom: -4.99
data_YLu2Au
_chemical_formula_sum 'Y3 Lu6 Au3'
_cell_length_a 3.6657
_cell_length_b 3.6657
_cell_length_c 29.2234
_cell_angle_alpha 90.00
_cell_angle_beta 90.00
_cell_angle_gamma 120.00
_symmetry_space_group_name_H-M 'R -3 m'
_symmetry_Int_Tables_number 166
_symmetry_space_group_name_Hall '-R 3 2"'
loop_
_atom_site_label
_atom_site_type_symbol
_atom_site_fract_x
_atom_site_fract_y
_atom_site_fract_z
Y1 Y 0.0000 0.0000 0.0000
Lu1 Lu 0.0000 0.0000 0.2353
Au1 Au 0.0000 0.0000 0.5000

2.
# YLu2Au | the Alexandria database | GGA-PBE | relaxed
# ΔE to the lowest computed polymorph in eV per atom: 0.000
# Energy relative to the elements in meV/atom: -417
# E_tot in eV per atom: -5.11
data_YLu2Au
_chemical_formula_sum 'Y1 Lu2 Au1'
_cell_length_a 3.5223
_cell_length_b 3.5223
_cell_length_c 8.6542
_cell_angle_alpha 90.00
_cell_angle_beta 90.00
_cell_angle_gamma 90.00
_symmetry_space_group_name_H-M 'P 4/m m m'
_symmetry_Int_Tables_number 123
_symmetry_space_group_name_Hall '-P 4 2'
loop_
_atom_site_label
_atom_site_type_symbol
_atom_site_fract_x
_atom_site_fract_y
_atom_site_fract_z
Y1 Y 0.0000 0.0000 0.0000
Lu1 Lu 0.5000 0.5000 0.2977
Au1 Au 0.0000 0.0000 0.5000